# 1
SrGeAsIr2: optimized geometry, PBE.

Cell lengths 4.189, 4.189, 11.251 Å; angles 90.00, 90.00, 90.00 degrees
Sites, in units of the cell vectors:
Sr: 0.000 0.000 0.000
Sr: 0.500 0.500 0.500
Ge: 0.000 0.000 0.368
Ge: 0.500 0.500 0.868
As: 0.000 0.000 0.628
As: 0.500 0.500 0.128
Ir: 0.000 0.500 0.248
Ir: 0.000 0.500 0.748
Ir: 0.500 0.000 0.248
Ir: 0.500 0.000 0.748

## Properties
Calculated total energy (eV/atom): -6.349
Crystal system: tetragonal

# 2
LaNi2GeAs: optimized geometry, PBE.

Cell lengths 4.186, 4.186, 9.810 Å; angles 90.00, 90.00, 90.00 degrees
Sites, in units of the cell vectors:
La: 0.250 0.250 0.247
La: 0.750 0.750 0.753
Ni: 0.250 0.250 0.625
Ni: 0.250 0.750 0.000
Ni: 0.750 0.250 0.000
Ni: 0.750 0.750 0.375
Ge: 0.250 0.750 0.500
Ge: 0.750 0.250 0.500
As: 0.250 0.250 0.871
As: 0.750 0.750 0.129

## Properties
Calculated total energy (eV/atom): -5.900
Crystal system: tetragonal

# 3
La2GeAsPd2: optimized geometry, PBE.

Cell lengths 4.398, 4.398, 8.224 Å; angles 90.00, 90.00, 120.00 degrees
Sites, in units of the cell vectors:
La: 0.000 0.000 0.247
La: 0.000 0.000 0.753
Ge: 0.333 0.667 0.500
As: 0.667 0.333 0.000
Pd: 0.333 0.667 0.000
Pd: 0.667 0.333 0.500

## Properties
Calculated total energy (eV/atom): -6.020
Crystal system: hexagonal